No. 1
Below is a relaxed structure of Nb2TcBr, with properties calculated at the PBE level.

Lattice parameters (Å, degrees): 4.6115 4.6115 4.6115 60.00 60.00 60.00
Last column: nearest neighbours and their distance in Å.
Positions (direct):
Tc: 0.5000 0.5000 0.5000  8 Nb 2.82
Nb: 0.7500 0.7500 0.7500  4 Br 2.82, 4 Tc 2.82
Nb: 0.2500 0.2500 0.2500  4 Tc 2.82, 4 Br 2.82
Br: 0.0000 0.0000 0.0000  8 Nb 2.82

Calculated values
**M_tot**: 0.00 Bohr magnetons per cell
**N(E_F)**: 1.404 states/eV/atom
**VASP energy**: -29.83 eV for the cell shown
**Energy relative to the elements, uncorrected**: 56.8 kJ/mol of atoms
**Crystal system**: cubic
**SG**: Fm-3m (225)

No. 2
Below is a relaxed structure of NbTc2Br, with properties calculated at the PBE level.

Lattice parameters (Å, degrees): 4.5266 4.5266 4.5266 60.00 60.00 60.00
Last column: nearest neighbours and their distance in Å.
Positions (direct):
Br: 0.0000 0.0000 0.0000  8 Tc 2.77
Tc: 0.2500 0.2500 0.2500  4 Nb 2.77, 4 Br 2.77
Tc: 0.7500 0.7500 0.7500  4 Br 2.77, 4 Nb 2.77
Nb: 0.5000 0.5000 0.5000  8 Tc 2.77

Calculated values
**M_tot**: 0.00 Bohr magnetons per cell
**N(E_F)**: 0.741 states/eV/atom
**VASP energy**: -29.28 eV for the cell shown
**Energy relative to the elements, uncorrected**: 77.1 kJ/mol of atoms
**Crystal system**: cubic
**SG**: Fm-3m (225)

No. 3
Below is a relaxed structure of Nb3TcBr, with properties calculated at the PBE level.

Lattice parameters (Å, degrees): 4.6832 4.6832 4.6832 90.00 90.00 90.00
Last column: nearest neighbours and their distance in Å.
Positions (direct):
Nb: 0.5000 0.0000 0.0000  2 Br 2.34
Nb: 0.0000 0.5000 0.0000  2 Br 2.34
Nb: 0.0000 0.0000 0.5000  2 Br 2.34
Br: 0.0000 0.0000 0.0000  6 Nb 2.34
Tc: 0.5000 0.5000 0.5000  12 Nb 3.31

Calculated values
**M_tot**: 1.32 Bohr magnetons per cell
**N(E_F)**: 1.844 states/eV/atom
**VASP energy**: -35.08 eV for the cell shown
**Energy relative to the elements, uncorrected**: 138.2 kJ/mol of atoms
**Crystal system**: cubic
**SG**: Pm-3m (221)

No. 4
Below is a relaxed structure of Nb3TcBr, with properties calculated at the PBE level.

Lattice parameters (Å, degrees): 4.8873 4.8873 4.8873 90.00 90.00 90.00
Last column: nearest neighbours and their distance in Å.
Positions (direct):
Br: 0.5000 0.5000 0.5000  12 Nb 3.46
Tc: 0.0000 0.0000 0.0000  6 Nb 2.44
Nb: 0.5000 0.0000 0.0000  2 Tc 2.44
Nb: 0.0000 0.0000 0.5000  2 Tc 2.44
Nb: 0.0000 0.5000 0.0000  2 Tc 2.44

Calculated values
**M_tot**: 0.00 Bohr magnetons per cell
**N(E_F)**: 1.609 states/eV/atom
**VASP energy**: -36.35 eV for the cell shown
**Energy relative to the elements, uncorrected**: 113.8 kJ/mol of atoms
**Crystal system**: cubic
**SG**: Pm-3m (221)

No. 5
Below is a relaxed structure of NbTe2Br6, with properties calculated at the PBE level.

Lattice parameters (Å, degrees): 8.1340 9.0771 7.4290 64.76 61.78 54.01
Last column: nearest neighbours and their distance in Å.
Positions (direct):
Br: 0.9719 0.5402 0.7040  1 Nb 2.51
Br: 0.8375 0.7308 0.1279  1 Nb 2.46
Br: 0.2945 0.8457 0.2425  1 Nb 2.50
Nb: 0.6537 0.6682 0.0070  5 Br 2.46-2.70
Br: 0.7175 0.3603 0.2365  1 Nb 2.46
Br: 0.4354 0.6659 0.8263  1 Nb 2.70, 1 Te 2.93
Te: 0.3667 0.2086 0.2644  1 Te 2.59
Br: 0.5689 0.0077 0.7273  1 Nb 2.77, 1 Te 2.90
Te: 0.4882 0.3069 0.8612  1 Te 2.59, 1 Br 2.90

Calculated values
**M_tot**: 1.00 Bohr magnetons per cell
**N(E_F)**: 0.096 states/eV/atom
**VASP energy**: -31.06 eV for the cell shown
**Energy relative to the elements, uncorrected**: -50.0 kJ/mol of atoms
**Crystal system**: triclinic
**SG**: P1 (1)

No. 6
Below is a relaxed structure of NbTe3Br, with properties calculated at the PBE level.

Lattice parameters (Å, degrees): 5.3994 5.3994 5.3994 90.00 90.00 90.00
Last column: nearest neighbours and their distance in Å.
Positions (direct):
Te: 0.0000 0.5000 0.0000  2 Nb 2.70
Nb: 0.0000 0.0000 0.0000  6 Te 2.70
Br: 0.5000 0.5000 0.5000  12 Te 3.82
Te: 0.0000 0.0000 0.5000  2 Nb 2.70
Te: 0.5000 0.0000 0.0000  2 Nb 2.70

Calculated values
**M_tot**: 0.00 Bohr magnetons per cell
**N(E_F)**: 1.254 states/eV/atom
**VASP energy**: -20.87 eV for the cell shown
**Energy relative to the elements, uncorrected**: 5.7 kJ/mol of atoms
**Crystal system**: cubic
**SG**: Pm-3m (221)

No. 7
Below is a relaxed structure of NbTe3Br, with properties calculated at the PBE level.

Lattice parameters (Å, degrees): 5.4612 5.4612 5.4612 90.00 90.00 90.00
Last column: nearest neighbours and their distance in Å.
Positions (direct):
Te: 0.0000 0.0000 0.5000  2 Br 2.73
Te: 0.5000 0.0000 0.0000  2 Br 2.73
Br: 0.0000 0.0000 0.0000  6 Te 2.73
Te: 0.0000 0.5000 0.0000  2 Br 2.73
Nb: 0.5000 0.5000 0.5000  12 Te 3.86

Calculated values
**M_tot**: 2.42 Bohr magnetons per cell
**N(E_F)**: 0.830 states/eV/atom
**VASP energy**: -15.07 eV for the cell shown
**Energy relative to the elements, uncorrected**: 117.8 kJ/mol of atoms
**Crystal system**: cubic
**SG**: Pm-3m (221)

No. 8
Below is a relaxed structure of NbTeBr3, with properties calculated at the PBE level.

Lattice parameters (Å, degrees): 6.6045 9.7783 9.7783 101.04 89.12 89.12
Last column: nearest neighbours and their distance in Å.
Positions (direct):
Nb: 0.7500 0.3044 0.6956  4 Br 2.46-2.69
Br: 0.1556 0.7195 0.5520  1 Nb 2.46
Br: 0.3444 0.4480 0.2805  1 Nb 2.46
Br: 0.9431 0.0623 0.7037  2 Nb 2.69-2.78
Te: 0.4111 0.1409 0.6242  2 Nb 2.79-2.97
Br: 0.4382 0.0843 0.1538  2 Nb 2.70-2.84
Nb: 0.2500 0.6956 0.3044  4 Br 2.46-2.69
Te: 0.0889 0.3758 0.8591  2 Nb 2.79-2.97
Br: 0.4431 0.7037 0.0623  2 Nb 2.69-2.78
Br: 0.6556 0.5520 0.7195  1 Nb 2.46
Br: 0.5618 0.9157 0.8462  2 Nb 2.70-2.84
Br: 0.0618 0.8462 0.9157  2 Nb 2.70-2.84
Nb: 0.7500 0.8985 0.1015  6 Br 2.70-2.84, 2 Te 2.97
Br: 0.8444 0.2805 0.4480  1 Nb 2.46
Br: 0.9382 0.1538 0.0843  2 Nb 2.70-2.84
Nb: 0.2500 0.1015 0.8985  6 Br 2.70-2.84, 2 Te 2.97
Te: 0.5889 0.8591 0.3758  2 Nb 2.79-2.97
Br: 0.0569 0.9377 0.2963  2 Nb 2.69-2.78
Br: 0.5569 0.2963 0.9377  2 Nb 2.69-2.78
Te: 0.9111 0.6242 0.1409  2 Nb 2.79-2.97

Calculated values
**M_tot**: 1.44 Bohr magnetons per cell
**N(E_F)**: 0.346 states/eV/atom
**VASP energy**: -83.91 eV for the cell shown
**Energy relative to the elements, uncorrected**: -53.0 kJ/mol of atoms
**Crystal system**: monoclinic
**SG**: C2/c (15)